Material: Ag2IrW
Method: DFT, PBE
State: relaxed

abc: 2.8338 2.8338 28.5373
angles: 90.00 90.00 120.00
Space group R3m (No. 160, hexagonal axes)
Symmetry-distinct sites (fractional):
Ag  0.0000  0.0000  0.0000 x3
Ag  0.0000  0.0000  0.2468 x3
Ir  0.0000  0.0000  0.7532 x3
W  0.0000  0.0000  0.4925 x3

Summary:
DOS(E_F): 0.722 states/eV/atom
theoretical density: 14.85 Mg/m³
energy of formation from the pure elements: 0.159 eV/atom
size of the total moment: 0.00 μB per cell
calculated total energy: -80.6 eV/cell